! Nd3Cd8In3 (PBE-GGA, relaxed); values from VASP
! Formation enthalpy at 0 K, meV/atom: -282
! Crystal system: orthorhombic
&SYSTEM
  ibrav = 0, nat = 14, ntyp = 3
/
ATOMIC_SPECIES
Nd 144.24 Nd.upf
Cd 112.41 Cd.upf
In 114.82 In.upf
CELL_PARAMETERS angstrom
-2.378 5.419 6.884
2.378 -5.419 6.884
2.378 5.419 -6.884
ATOMIC_POSITIONS angstrom
Nd 0.000 0.000 0.000
Nd 0.000 0.000 4.232
Nd 0.000 0.000 9.536
Cd 2.378 -1.376 2.181
Cd 2.378 -2.443 4.880
Cd 2.378 1.376 2.181
Cd 0.000 2.976 2.005
Cd 2.378 2.443 4.880
Cd 0.000 4.043 4.703
Cd 0.000 7.863 2.005
Cd 0.000 6.795 4.703
In 2.378 3.268 0.000
In 0.000 5.419 0.000
In 0.000 2.151 6.884

***

! NbHg2Mo (PBE-GGA, relaxed); values from VASP
! Formation enthalpy at 0 K, meV/atom: 642
! Energy above the lowest structure with this stoichiometry, eV/atom: 0.000
! Crystal system: cubic
&SYSTEM
  ibrav = 0, nat = 4, ntyp = 3
/
ATOMIC_SPECIES
Nb 92.91 Nb.upf
Hg 200.59 Hg.upf
Mo 95.94 Mo.upf
CELL_PARAMETERS angstrom
0.000 3.344 3.344
3.344 0.000 3.344
3.344 3.344 0.000
ATOMIC_POSITIONS angstrom
Nb 0.000 0.000 0.000
Hg 1.672 1.672 1.672
Hg 5.016 5.016 5.016
Mo 3.344 3.344 3.344

***

! Sr2LiSi (PBE-GGA, relaxed); values from VASP
! Energy relative to the elements, uncorrected, kJ/mol of formula units: -52
! Crystal system: tetragonal
&SYSTEM
  ibrav = 0, nat = 4, ntyp = 3
/
ATOMIC_SPECIES
Sr 87.62 Sr.upf
Li 6.94 Li.upf
Si 28.09 Si.upf
CELL_PARAMETERS angstrom
5.535 0.000 0.000
0.000 5.535 0.000
0.000 0.000 3.892
ATOMIC_POSITIONS angstrom
Sr 0.000 2.768 0.000
Sr 2.768 0.000 0.000
Li 0.000 0.000 1.946
Si 2.768 2.768 1.946

***

! NbNi2HOs (PBE-GGA, relaxed); values from VASP
! Energy above the lowest structure with this stoichiometry, eV/atom: 0.031
! Crystal system: tetragonal
&SYSTEM
  ibrav = 0, nat = 5, ntyp = 4
/
ATOMIC_SPECIES
Nb 92.91 Nb.upf
Ni 58.69 Ni.upf
H 1.01 H.upf
Os 190.23 Os.upf
CELL_PARAMETERS angstrom
3.716 0.000 0.000
0.000 3.716 0.000
0.000 0.000 4.068
ATOMIC_POSITIONS angstrom
Nb 0.000 0.000 0.000
Ni 0.000 1.858 2.034
Ni 1.858 0.000 2.034
H 0.000 0.000 2.034
Os 1.858 1.858 0.000

***

! CdPbS2 (PBE-GGA, relaxed); values from VASP
! Energy relative to the elements, uncorrected, kJ/mol of formula units: -130
! Crystal system: trigonal
&SYSTEM
  ibrav = 0, nat = 4, ntyp = 3
/
ATOMIC_SPECIES
Cd 112.41 Cd.upf
Pb 207.20 Pb.upf
S 32.06 S.upf
CELL_PARAMETERS angstrom
2.247 1.297 7.603
-2.247 1.297 7.603
0.000 -2.594 7.603
ATOMIC_POSITIONS angstrom
Cd 0.000 0.000 0.000
Pb 0.000 0.000 11.405
S 0.000 0.000 2.332
S 0.000 0.000 20.479

***

! CaZrO3 (PBE-GGA, relaxed); values from VASP
! Energy relative to the elements, uncorrected, kJ/mol of formula units: -1474
! Crystal system: cubic
&SYSTEM
  ibrav = 0, nat = 5, ntyp = 3
/
ATOMIC_SPECIES
Ca 40.08 Ca.upf
Zr 91.22 Zr.upf
O 16.00 O.upf
CELL_PARAMETERS angstrom
4.127 0.000 0.000
0.000 4.127 0.000
0.000 0.000 4.127
ATOMIC_POSITIONS angstrom
Ca 0.000 0.000 0.000
Zr 2.063 2.063 2.063
O 0.000 2.063 2.063
O 2.063 0.000 2.063
O 2.063 2.063 0.000

***

Table of DOS(E_F) (states/eV/cell), in record order: 7.479 3.729 1.975 3.727 0.000 0.000